This record from Alexandria via LeMat-Bulk describes a geometry-optimized GdErIn2 structure. The functional is PBE.

The structure in POSCAR format:
```
GdErIn2
1.0
3.5340 0.0000 0.0000
0.0000 3.5340 0.0000
0.0000 0.0000 8.5177
Gd Er In
1 1 2
Cartesian
0.0000 0.0000 0.0000
0.0000 0.0000 4.2589
1.7670 1.7670 2.1706
1.7670 1.7670 6.3471
```

## Properties
Energy relative to the elements   -0.48 eV/atom
DOS(E_F)   1.9 states/eV/cell
Calculated density   8.650 g/cm3